(1)
A plane-wave DFT calculation with PBE was carried out for a relaxed structure of ZrCdCl2.

abc: 4.4323 4.4323 4.3846
angles: 90.00 90.00 90.00
Last column: nearest neighbours and their distance in Å.
Element x y z (fractional)
Zr  0.0000  0.0000  0.0000  8 Cl 3.12, 4 Cd 3.13
Cd  0.5000  0.5000  0.0000  8 Cl 3.12, 4 Zr 3.13
Cl  0.0000  0.5000  0.5000  4 Cd 3.12, 4 Zr 3.12, 4 Cl 3.13
Cl  0.5000  0.0000  0.5000  4 Cd 3.12, 4 Zr 3.12, 4 Cl 3.13

Summary:
- Density of states at the Fermi level: 0.782 states/eV/atom
- Energy relative to the elements, uncorrected: -251 meV per atom
- Excess energy over the best structure of this formula in the dataset: 822 meV/atom
- Symmetry: P4/mmm
- DFT total energy: -14.16 eV/cell



(2)
A plane-wave DFT calculation with PBE was carried out for a relaxed structure of Nb2VAg.

abc: 3.1491 3.1491 6.9551
angles: 90.00 90.00 90.00
Last column: nearest neighbours and their distance in Å.
Element x y z (fractional)
Nb  0.0000  0.0000  0.2163  4 V 2.69, 4 Ag 2.98, 1 Nb 3.01
Nb  0.0000  0.0000  0.7837  4 V 2.69, 4 Ag 2.98, 1 Nb 3.01
V  0.5000  0.5000  0.0000  8 Nb 2.69
Ag  0.5000  0.5000  0.5000  8 Nb 2.98, 4 Ag 3.15

Summary:
- Density of states at the Fermi level: 1.085 states/eV/atom
- ΔE_f: 184 meV/atom
- Excess energy over the best structure of this formula in the dataset: 0 meV/atom
- Symmetry: P4/mmm
- DFT total energy: -31.37 eV/cell



(3)
A plane-wave DFT calculation with PBE was carried out for a relaxed structure of PmPr2ErTm5.

abc: 9.8607 9.8607 9.8607
angles: 127.87 127.87 76.83
Last column: nearest neighbours and their distance in Å.
Element x y z (fractional)
Pm  0.2500  0.2500  0.0000  10 Tm 3.54-3.86
Pm  0.7500  0.7500  0.0000  10 Tm 3.54-3.86
Pr  0.1174  0.6174  0.7349  1 Pr 2.88, 2 Tm 3.00
Pr  0.3826  0.1174  0.5000  1 Pr 2.88, 2 Tm 3.00
Pr  0.6174  0.8826  0.5000  1 Pr 2.88, 2 Tm 3.00
Pr  0.8826  0.3826  0.2651  1 Pr 2.88, 2 Tm 3.00
Er  0.2500  0.7500  0.5000  4 Tm 3.11
Er  0.7500  0.2500  0.5000  4 Tm 3.11
Tm  0.0000  0.0000  0.0000  4 Pr 3.47, 8 Tm 3.78, 2 Pm 3.86
Tm  0.0723  0.1485  0.5000  1 Pr 3.00, 1 Er 3.11
Tm  0.1485  0.6485  0.0762  1 Pr 3.00, 1 Er 3.11
Tm  0.3515  0.4277  0.5000  1 Pr 3.00, 1 Er 3.11
Tm  0.4277  0.9277  0.0762  1 Pr 3.00, 1 Er 3.11
Tm  0.5000  0.5000  0.0000  4 Pr 3.47, 8 Tm 3.78, 2 Pm 3.86
Tm  0.5723  0.0723  0.9238  1 Pr 3.00, 1 Er 3.11
Tm  0.6485  0.5723  0.5000  1 Pr 3.00, 1 Er 3.11
Tm  0.8515  0.3515  0.9238  1 Pr 3.00, 1 Er 3.11
Tm  0.9277  0.8515  0.5000  1 Pr 3.00, 1 Er 3.11

Summary:
- Density of states at the Fermi level: 1.125 states/eV/atom
- ΔE_f: 268 meV/atom
- Symmetry: I4/mcm
- DFT total energy: -77.64 eV/cell